Density functional theory data (PBE with a Hubbard U) for crystalline Cr2CoF at its relaxed geometry.

```
Cr2CoF
1.0
0.0000 2.7970 2.7970
2.7970 0.0000 2.7970
2.7970 2.7970 0.0000
Cr Co F
2 1 1
Direct
0.2500 0.2500 0.2500
0.7500 0.7500 0.7500
0.5000 0.5000 0.5000
0.0000 0.0000 0.0000
```

Calculated values
**Energy relative to the lowest polymorph listed for this composition**: 1.5315 eV/atom
**Mass density**: 6.90 g cm⁻³
**SG**: Fm-3m